First-principles (PBE-GGA) data for a relaxed structure of Na2BH4F2, as listed in Alexandria via LeMat-Bulk.

```
Na2BH4F2
1.0
-2.2200 2.2200 4.6714
2.2200 -2.2200 4.6714
2.2200 2.2200 -4.6714
Na B H F
2 1 4 2
Direct
0.2500 0.7500 0.5000
0.7500 0.2500 0.5000
0.0000 0.0000 0.0000
0.2070 0.2070 0.4140
0.2070 0.7930 0.0000
0.7930 0.2070 0.0000
0.7930 0.7930 0.5860
0.2111 0.2111 0.0000
0.7889 0.7889 0.0000
```

***

First-principles (PBE-GGA) data for a relaxed structure of NaBH2F8, as listed in Alexandria via LeMat-Bulk.

```
NaBH2F8
1.0
4.0400 0.0000 0.0000
1.0183 4.9194 0.0000
0.6105 1.6085 6.6011
Na B H F
1 1 2 8
Direct
0.0000 0.0000 0.0000
0.0000 0.0000 0.5000
0.3454 0.4891 0.8216
0.6546 0.5109 0.1784
0.1734 0.8761 0.3478
0.2151 0.2632 0.4481
0.3189 0.7783 0.7008
0.3517 0.3089 0.9218
0.6483 0.6911 0.0782
0.6811 0.2217 0.2992
0.7849 0.7368 0.5519
0.8266 0.1239 0.6522
```

***

First-principles (PBE-GGA) data for a relaxed structure of Zn8B4H3O15F, as listed in Alexandria via LeMat-Bulk.

```
Zn8B4H3O15F
1.0
7.2211 0.0000 0.0000
0.0000 5.0040 0.0000
-3.1721 0.0000 22.9236
Zn B H O F
16 8 6 30 2
Direct
0.0131 0.9999 0.3923
0.1104 0.0161 0.2626
0.1208 0.5151 0.9874
0.2403 0.5038 0.8590
0.2684 0.0004 0.6401
0.3656 0.0169 0.5109
0.3807 0.5149 0.2424
0.4819 0.5000 0.1149
0.5181 0.0000 0.8851
0.6193 0.0149 0.7576
0.6344 0.5169 0.4891
0.7316 0.5004 0.3599
0.7597 0.0038 0.1410
0.8792 0.0151 0.0126
0.8896 0.5161 0.7374
0.9869 0.4999 0.6077
0.1080 0.5112 0.3302
0.1505 0.0157 0.9229
0.3641 0.5121 0.5780
0.3851 0.0092 0.1754
0.6149 0.5092 0.8246
0.6359 0.0121 0.4220
0.8495 0.5157 0.0771
0.8920 0.0112 0.6698
0.0392 0.8485 0.4940
0.2153 0.3540 0.7571
0.2925 0.8498 0.7421
0.7075 0.3498 0.2579
0.7847 0.8540 0.2429
0.9608 0.3485 0.5060
0.9997 0.3760 0.3656
0.0003 0.8760 0.6344
0.0615 0.8829 0.9636
0.0974 0.0029 0.4771
0.1215 0.7873 0.3337
0.1350 0.2914 0.9182
0.1548 0.5068 0.7738
0.1979 0.3743 0.2902
0.2554 0.3763 0.6131
0.2559 0.8781 0.8871
0.2938 0.8726 0.2152
0.3505 0.0036 0.7249
0.3700 0.2846 0.1718
0.3793 0.7879 0.5820
0.4529 0.3762 0.5375
0.4955 0.8744 0.1407
0.5045 0.3744 0.8593
0.5471 0.8762 0.4625
0.6207 0.2878 0.4180
0.6300 0.7846 0.8282
0.6495 0.5036 0.2751
0.7062 0.3726 0.7848
0.7441 0.3781 0.1129
0.7446 0.8763 0.3869
0.8021 0.8743 0.7098
0.8452 0.0068 0.2262
0.8650 0.7914 0.0818
0.8785 0.2873 0.6663
0.9026 0.5029 0.5229
0.9385 0.3829 0.0364
0.3652 0.4805 0.0345
0.6348 0.9805 0.9655
```

***

First-principles (PBE-GGA) data for a relaxed structure of Zn8B4H3O15F, as listed in Alexandria via LeMat-Bulk.

```
Zn8B4H3O15F
1.0
5.0063 0.0000 0.0000
0.0117 8.4607 0.0000
0.0254 2.2503 9.8397
Zn B H O F
8 4 3 15 1
Direct
0.0000 0.0000 0.0000
0.0005 0.5094 0.4980
0.0119 0.8807 0.3534
0.0179 0.3784 0.8692
0.4961 0.9383 0.8148
0.4991 0.4387 0.3171
0.5112 0.0644 0.4569
0.5132 0.5638 0.9640
0.0071 0.7340 0.8647
0.0085 0.2357 0.3637
0.5100 0.7090 0.4512
0.5118 0.2052 0.9559
0.3294 0.1752 0.6477
0.3535 0.6826 0.1521
0.8444 0.7597 0.1667
0.2830 0.2404 0.3466
0.2829 0.7359 0.8554
0.3742 0.0647 0.9527
0.3754 0.8549 0.4298
0.3760 0.5661 0.4518
0.3780 0.3505 0.9474
0.4590 0.0906 0.6418
0.5062 0.6103 0.1482
0.7854 0.7069 0.4680
0.7883 0.2015 0.9651
0.8696 0.8758 0.8642
0.8708 0.3754 0.3725
0.8708 0.5885 0.8797
0.8718 0.0913 0.3745
0.9981 0.8313 0.1704
0.0465 0.3585 0.6769
```

***

First-principles (PBE-GGA) data for a relaxed structure of BH2PbF8, as listed in Alexandria via LeMat-Bulk.

```
BH2PbF8
1.0
4.7683 0.0000 0.0000
1.1651 4.8705 0.0000
1.4239 2.0261 5.6356
B H Pb F
1 2 1 8
Direct
0.0000 0.0000 0.0000
0.4342 0.7578 0.7879
0.5658 0.2422 0.2121
0.0000 0.5000 0.5000
0.0649 0.9790 0.2561
0.1060 0.2966 0.8887
0.3580 0.8206 0.9438
0.4738 0.3165 0.3895
0.5262 0.6835 0.6105
0.6420 0.1794 0.0562
0.8940 0.7034 0.1113
0.9351 0.0210 0.7439
```

***

First-principles (PBE-GGA) data for a relaxed structure of ReB2HF, as listed in Alexandria via LeMat-Bulk.

```
ReB2HF
1.0
3.4290 0.0000 0.0000
0.0000 3.4290 0.0000
0.0000 0.0000 4.2846
Re B H F
1 2 1 1
Direct
0.0000 0.0000 0.0000
0.0000 0.5000 0.5000
0.5000 0.0000 0.5000
0.5000 0.5000 0.0000
0.0000 0.0000 0.5000
```

***

One value per record, in order, for calculated density: 1.78; 2.38; 3.32; 3.30; 4.72; 7.51 g/cm³.
One value per record, in order, for E_tot: -34.16; -49.77; -355.86; -177.90; -54.35; -19.85 eV per cell.
One value per record, in order, for volume: 92.1; 131.2; 414.2; 416.8; 130.9; 50.4 Å³/f.u..